DFT (PBE) results for an optimized crystal structure of CaCeMoN3.

Properties
Magnetization ... 0.000 μB per atom
Mass density ... 4.90 g cm⁻³
Total DFT energy (no corrections) ... -8.16 eV/atom
Formation energy (no corrections) ... -0.866 eV per atom

Cell and atoms, written as CIF:
```
data_CaCeMoN3
_chemical_formula_sum 'Ca2 Ce2 Mo2 N6'
_cell_length_a 7.150
_cell_length_b 3.532
_cell_length_c 8.645
_cell_angle_alpha 90.00
_cell_angle_beta 98.72
_cell_angle_gamma 90.00
_symmetry_space_group_name_H-M 'P 1 21/m 1'
_symmetry_Int_Tables_number 11
loop_
_symmetry_equiv_pos_as_xyz
'x,y,z'
'-x,-y,-z'
'-x,y+1/2,-z'
'x,-y+1/2,z'
loop_
_atom_site_label
_atom_site_type_symbol
_atom_site_fract_x
_atom_site_fract_y
_atom_site_fract_z
Ca1 Ca 0.162 0.250 0.135
Ce1 Ce 0.364 0.750 0.842
Mo1 Mo 0.051 0.250 0.617
N1 N 0.103 0.250 0.847
N2 N 0.166 0.750 0.573
N3 N 0.412 0.750 0.111
```


DFT (PBE) results for an optimized crystal structure of CaCe2MoN4.

Properties
Magnetization ... 0.000 μB per atom
Mass density ... 6.25 g cm⁻³
Total DFT energy (no corrections) ... -8.23 eV/atom
Formation energy (no corrections) ... -0.985 eV per atom

Cell and atoms, written as CIF:
```
data_CaCe2MoN4
_chemical_formula_sum 'Ca4 Ce8 Mo4 N16'
_cell_length_a 3.531
_cell_length_b 12.095
_cell_length_c 11.744
_cell_angle_alpha 90.00
_cell_angle_beta 90.00
_cell_angle_gamma 90.00
_symmetry_space_group_name_H-M 'C m c m'
_symmetry_Int_Tables_number 63
_symmetry_space_group_name_Hall '-C 2c 2'
loop_
_atom_site_label
_atom_site_type_symbol
_atom_site_fract_x
_atom_site_fract_y
_atom_site_fract_z
Ca1 Ca 0.000 0.132 0.250
Ce1 Ce 0.000 0.368 0.039
Mo1 Mo 0.000 0.138 0.750
N1 N 0.000 0.000 0.000
N2 N 0.000 0.257 0.627
N3 N 0.000 0.438 0.250
```


DFT (PBE) results for an optimized crystal structure of CaCe2N3.

Properties
Magnetization ... 0.120 μB per atom
Mass density ... 6.23 g cm⁻³
Total DFT energy (no corrections) ... -7.82 eV/atom
Formation energy (no corrections) ... -1.346 eV per atom

Cell and atoms, written as CIF:
```
data_CaCe2N3
_chemical_formula_sum 'Ca2 Ce4 N6'
_cell_length_a 3.5696
_cell_length_b 3.5696
_cell_length_c 17.5155
_cell_angle_alpha 90.00
_cell_angle_beta 90.00
_cell_angle_gamma 120.00
_symmetry_space_group_name_H-M 'P 63/m m c'
_symmetry_Int_Tables_number 194
_symmetry_space_group_name_Hall '-P 6c 2c'
loop_
_atom_site_label
_atom_site_type_symbol
_atom_site_fract_x
_atom_site_fract_y
_atom_site_fract_z
Ca1 Ca 0.0000 0.0000 0.2500
Ce1 Ce 0.3333 0.6667 0.0856
N1 N 0.0000 0.0000 0.0000
N2 N 0.3333 0.6667 0.6565
```


DFT (PBE) results for an optimized crystal structure of CaCe5N6.

Properties
Magnetization ... 0.185 μB per atom
Mass density ... 7.10 g cm⁻³
Total DFT energy (no corrections) ... -8.22 eV/atom
Formation energy (no corrections) ... -1.421 eV per atom

Cell and atoms, written as CIF:
```
data_CaCe5N6
_chemical_formula_sum 'Ca2 Ce10 N12'
_cell_length_a 6.181
_cell_length_b 10.702
_cell_length_c 6.181
_cell_angle_alpha 90.00
_cell_angle_beta 109.45
_cell_angle_gamma 90.00
_symmetry_space_group_name_H-M 'C 1 2/m 1'
_symmetry_Int_Tables_number 12
loop_
_symmetry_equiv_pos_as_xyz
'x,y,z'
'-x,-y,-z'
'-x,y,-z'
'x,-y,z'
'x+1/2,y+1/2,z'
'-x+1/2,-y+1/2,-z'
'-x+1/2,y+1/2,-z'
'x+1/2,-y+1/2,z'
loop_
_atom_site_label
_atom_site_type_symbol
_atom_site_fract_x
_atom_site_fract_y
_atom_site_fract_z
Ca1 Ca 0.000 0.000 0.000
Ce1 Ce 0.000 0.166 0.500
Ce2 Ce 0.000 0.333 0.000
Ce3 Ce 0.000 0.500 0.500
N1 N 0.240 0.500 0.256
N2 N 0.242 0.327 0.745
```


Q: What is the total DFT energy (no corrections) in the fourth record?
A: -8.22 eV/atom


Q: What is the total DFT energy (no corrections) in the second record?
A: -8.23 eV/atom